(1)
TbPm2Zn2Sn2 | PBE | optimized geometry

Lattice parameters (Å, degrees): 9.9630 9.9630 9.9630 27.00 27.00 27.00
With the nearest neighbours (Å) after each atom.
Fractional positions:
Tb  0.0000  0.0000  0.0000  6 Sn 3.24, 6 Zn 3.57
Pm  0.1297  0.1297  0.1297  3 Zn 3.02, 3 Sn 3.30
Pm  0.8703  0.8703  0.8703  3 Zn 3.02, 3 Sn 3.30
Zn  0.4148  0.4148  0.4148  3 Sn 2.74, 3 Pm 3.02
Zn  0.5852  0.5852  0.5852  3 Sn 2.74, 3 Pm 3.02
Sn  0.2703  0.2703  0.2703  3 Zn 2.74
Sn  0.7297  0.7297  0.7297  3 Zn 2.74

Calculated values
**Density of states at the Fermi level**: 6.8 states/eV/f.u.
**Total energy**: -3.888 eV/atom
**Space-group type**: R-3m (166)

(2)
TbPmZnSn | PBE | optimized geometry

Lattice parameters (Å, degrees): 7.4362 7.4362 7.4362 90.00 90.00 90.00
With the nearest neighbours (Å) after each atom.
Fractional positions:
Tb  0.0000  0.0000  0.0000  4 Zn 3.22, 4 Sn 3.22
Tb  0.0000  0.5000  0.5000  4 Zn 3.22, 4 Sn 3.22
Tb  0.5000  0.0000  0.5000  4 Zn 3.22, 4 Sn 3.22
Tb  0.5000  0.5000  0.0000  4 Zn 3.22, 4 Sn 3.22
Pm  0.0000  0.0000  0.5000  4 Sn 3.22, 4 Zn 3.22
Pm  0.0000  0.5000  0.0000  4 Sn 3.22, 4 Zn 3.22
Pm  0.5000  0.0000  0.0000  4 Sn 3.22, 4 Zn 3.22
Pm  0.5000  0.5000  0.5000  4 Sn 3.22, 4 Zn 3.22
Zn  0.2500  0.2500  0.7500  4 Tb 3.22, 4 Pm 3.22
Zn  0.2500  0.7500  0.2500  4 Tb 3.22, 4 Pm 3.22
Zn  0.7500  0.2500  0.2500  4 Tb 3.22, 4 Pm 3.22
Zn  0.7500  0.7500  0.7500  4 Tb 3.22, 4 Pm 3.22
Sn  0.2500  0.2500  0.2500  4 Tb 3.22, 4 Pm 3.22
Sn  0.2500  0.7500  0.7500  4 Tb 3.22, 4 Pm 3.22
Sn  0.7500  0.2500  0.7500  4 Tb 3.22, 4 Pm 3.22
Sn  0.7500  0.7500  0.2500  4 Tb 3.22, 4 Pm 3.22

Calculated values
**Density of states at the Fermi level**: 2.3 states/eV/f.u.
**Total energy**: -4.179 eV/atom
**Space-group type**: F-43m (216)

| no. | ΔH_f (0 K) (eV/atom) |
| --- | --- |
| 1 | -0.36 |
| 2 | -0.51 |